VASP calculation (PBE) on ZrNpSnO6 after structural relaxation.

a b c (Å): 5.678 5.678 10.140
angles (deg): 90.00 90.00 120.00
Atoms (fractional coordinates):
Zr: 0.333 0.667 0.250
Zr: 0.667 0.333 0.750
Np: 0.333 0.667 0.750
Np: 0.667 0.333 0.250
Sn: 0.000 0.000 0.000
Sn: 0.000 0.000 0.500
O: 0.007 0.370 0.643
O: 0.007 0.637 0.857
O: 0.363 0.370 0.857
O: 0.363 0.993 0.643
O: 0.370 0.007 0.143
O: 0.370 0.363 0.357
O: 0.630 0.637 0.643
O: 0.630 0.993 0.857
O: 0.637 0.007 0.357
O: 0.637 0.630 0.143
O: 0.993 0.363 0.143
O: 0.993 0.630 0.357

## Properties
Final energy, eV for the cell shown: -156.2
SG: P-31c, No. 163
Total magnetization, μB per cell: 2.000